1.
Below is an optimized crystal structure of Ba2YTi3O8, with properties calculated at the PBEsol level.

Unit cell a=3.952 b=3.952 c=11.340 alpha=90.00 beta=90.00 gamma=90.00
Fractional coordinates of all 14 atoms:
Ba (0.500, 0.500, 0.171)
Ba (0.500, 0.500, 0.829)
Y (0.500, 0.500, 0.500)
Ti (0.000, 0.000, 0.354)
Ti (0.000, 0.000, 0.000)
Ti (0.000, 0.000, 0.646)
O (0.000, 0.500, 0.372)
O (0.500, 0.000, 0.372)
O (0.500, 0.000, 0.000)
O (0.000, 0.000, 0.183)
O (0.000, 0.500, 0.628)
O (0.500, 0.000, 0.628)
O (0.000, 0.000, 0.817)
O (0.000, 0.500, 0.000)

- SG = No. 123
- ΔE_f (raw) (eV/atom) = -3.0851
- magnetic moment (μB/cell) = 0.00

***

2.
Below is an optimized crystal structure of Zn2TeAs, with properties calculated at the PBEsol level.

Unit cell a=3.153 b=3.153 c=9.679 alpha=80.63 beta=80.63 gamma=60.00
Fractional coordinates of all 4 atoms:
As (0.478, 0.478, 0.567)
Te (0.265, 0.265, 0.204)
Zn (0.012, 0.012, 0.963)
Zn (0.745, 0.745, 0.766)

- SG = No. 160
- ΔE_f (raw) (eV/atom) = 0.1956
- magnetic moment (μB/cell) = 0.00

***

3.
Below is an optimized crystal structure of InHgW2, with properties calculated at the PBEsol level.

Unit cell a=2.813 b=5.278 c=5.278 alpha=116.01 beta=90.00 gamma=90.00
Fractional coordinates of all 4 atoms:
Hg (0.500, 0.000, 0.000)
In (0.500, 0.500, 0.500)
W (0.000, 0.500, 0.000)
W (0.000, 0.000, 0.500)

- SG = No. 65
- calculated formation energy (eV per formula unit) = 3.145
- magnetic moment (μB/cell) = 0.00

***

4.
Below is an optimized crystal structure of HfTl2P, with properties calculated at the PBEsol level.

Unit cell a=5.006 b=5.006 c=5.006 alpha=60.00 beta=60.00 gamma=60.00
Fractional coordinates of all 4 atoms:
P (0.000, 0.000, 0.000)
Tl (0.250, 0.250, 0.250)
Tl (0.750, 0.750, 0.750)
Hf (0.500, 0.500, 0.500)

- SG = No. 225
- calculated formation energy (eV per formula unit) = 2.317
- magnetic moment (μB/cell) = 0.00

***

5.
Below is an optimized crystal structure of MgSb2W, with properties calculated at the PBEsol level.

Unit cell a=3.358 b=3.385 c=7.355 alpha=90.00 beta=95.94 gamma=90.00
Fractional coordinates of all 4 atoms:
Mg (0.500, 0.500, 0.000)
Sb (0.960, 0.000, 0.284)
Sb (0.040, 0.000, 0.716)
W (0.500, 0.500, 0.500)

- SG = No. 10
- ΔE_f (raw) (eV/atom) = 0.1957
- magnetic moment (μB/cell) = 0.00

***

6.
Below is an optimized crystal structure of ScFe2, with properties calculated at the PBEsol level.

Unit cell a=4.831 b=4.831 c=4.831 alpha=60.00 beta=60.00 gamma=60.00
Fractional coordinates of all 6 atoms:
Fe (0.125, 0.625, 0.625)
Fe (0.625, 0.625, 0.625)
Fe (0.625, 0.625, 0.125)
Fe (0.625, 0.125, 0.625)
Sc (0.000, 0.000, 0.000)
Sc (0.250, 0.250, 0.250)

- SG = No. 227
- calculated formation energy (eV per formula unit) = -0.835
- magnetic moment (μB/cell) = 5.06

***

7.
Below is an optimized crystal structure of MgAlZn2, with properties calculated at the PBEsol level.

Unit cell a=2.882 b=4.896 c=4.986 alpha=102.11 beta=90.00 gamma=107.12
Fractional coordinates of all 4 atoms:
Al (0.509, 0.018, 0.526)
Mg (0.745, 0.490, 0.232)
Zn (0.990, 0.980, 0.004)
Zn (0.256, 0.512, 0.738)

- SG = No. 8
- calculated formation energy (eV per formula unit) = 0.059
- magnetic moment (μB/cell) = 0.00

***

8.
Below is an optimized crystal structure of TePdSI2, with properties calculated at the PBEsol level.

Unit cell a=5.262 b=5.245 c=5.245 alpha=90.00 beta=90.00 gamma=90.00
Fractional coordinates of all 5 atoms:
I (0.000, 0.000, 0.500)
I (0.000, 0.500, 0.000)
S (0.500, 0.500, 0.500)
Te (0.500, 0.000, 0.000)
Pd (0.000, 0.000, 0.000)

- SG = No. 123
- ΔE_f (raw) (eV/atom) = 0.5521
- magnetic moment (μB/cell) = 0.90